Entry 1:
The following is a PBE-GGA calculation of a geometry-optimized MgCr3 structure, from the Alexandria database.

Spin magnetization (Bohr magnetons per cell): 2.7
DOS(E_F) (states/eV/f.u.): 3.14
Electronic total energy (eV/f.u.): -28.4
Energy of formation from the pure elements (eV/atom): 0.506

Structure (CIF):
```
data_MgCr3
_chemical_formula_sum 'Mg1 Cr3'
_symmetry_space_group_name_H-M 'P -6 m 2'
_symmetry_Int_Tables_number 187
_symmetry_space_group_name_Hall 'P -6 2'
_cell_length_a 2.8445
_cell_length_b 2.8445
_cell_length_c 8.3258
_cell_angle_alpha 90.00
_cell_angle_beta 90.00
_cell_angle_gamma 120.00
loop_
_atom_site_label
_atom_site_fract_x
_atom_site_fract_y
_atom_site_fract_z
Mg1 0.0000 0.0000 0.0000
Cr1 0.0000 0.0000 0.5000
Cr2 0.3333 0.6667 0.2899
```



Entry 2:
The following is a PBE-GGA calculation of a geometry-optimized MgCr3 structure, from the Alexandria database.

Spin magnetization (Bohr magnetons per cell): 0.0
DOS(E_F) (states/eV/f.u.): 4.49
Electronic total energy (eV/f.u.): -27.9
Energy of formation from the pure elements (eV/atom): 0.638

Structure (CIF):
```
data_MgCr3
_chemical_formula_sum 'Mg1 Cr3'
_symmetry_space_group_name_H-M 'P m -3 m'
_symmetry_Int_Tables_number 221
_symmetry_space_group_name_Hall '-P 4 2 3'
_cell_length_a 3.740
_cell_length_b 3.740
_cell_length_c 3.740
_cell_angle_alpha 90.00
_cell_angle_beta 90.00
_cell_angle_gamma 90.00
loop_
_atom_site_label
_atom_site_fract_x
_atom_site_fract_y
_atom_site_fract_z
Mg1 0.000 0.000 0.000
Cr1 0.000 0.500 0.500
```



Entry 3:
The following is a PBE-GGA calculation of a geometry-optimized MgCr3 structure, from the Alexandria database.

Spin magnetization (Bohr magnetons per cell): 0.0
DOS(E_F) (states/eV/f.u.): 4.09
Electronic total energy (eV/f.u.): -28.3
Energy of formation from the pure elements (eV/atom): 0.548

Structure (CIF):
```
data_MgCr3
_chemical_formula_sum 'Mg2 Cr6'
_symmetry_space_group_name_H-M 'C 1 2/m 1'
_symmetry_Int_Tables_number 12
_symmetry_space_group_name_Hall '-C 2y'
_cell_length_a 8.643
_cell_length_b 2.445
_cell_length_c 4.954
_cell_angle_alpha 90.00
_cell_angle_beta 90.54
_cell_angle_gamma 90.00
loop_
_atom_site_label
_atom_site_fract_x
_atom_site_fract_y
_atom_site_fract_z
Mg1 0.000 0.000 0.000
Cr1 0.000 0.500 0.500
Cr2 0.243 0.500 0.740
```



Entry 4:
The following is a PBE-GGA calculation of a geometry-optimized MgCr3 structure, from the Alexandria database.

Spin magnetization (Bohr magnetons per cell): 0.0
DOS(E_F) (states/eV/f.u.): 4.06
Electronic total energy (eV/f.u.): -28.2
Energy of formation from the pure elements (eV/atom): 0.563

Structure (CIF):
```
data_MgCr3
_chemical_formula_sum 'Mg4 Cr12'
_symmetry_space_group_name_H-M 'P 63/m m c'
_symmetry_Int_Tables_number 194
_symmetry_space_group_name_Hall '-P 6c 2c'
_cell_length_a 5.4015
_cell_length_b 5.4015
_cell_length_c 8.5167
_cell_angle_alpha 90.00
_cell_angle_beta 90.00
_cell_angle_gamma 120.00
loop_
_atom_site_label
_atom_site_fract_x
_atom_site_fract_y
_atom_site_fract_z
Mg1 0.0000 0.0000 0.0000
Mg2 0.3333 0.6667 0.2500
Cr1 0.0000 0.5000 0.0000
Cr2 0.1908 0.3816 0.7500
```



Entry 5:
The following is a PBE-GGA calculation of a geometry-optimized Mg2Cr structure, from the Alexandria database.

Spin magnetization (Bohr magnetons per cell): 14.9
DOS(E_F) (states/eV/f.u.): 2.04
Electronic total energy (eV/f.u.): -11.5
Energy of formation from the pure elements (eV/atom): 0.435

Structure (CIF):
```
data_Mg2Cr
_chemical_formula_sum 'Mg8 Cr4'
_symmetry_space_group_name_H-M 'C m c m'
_symmetry_Int_Tables_number 63
_symmetry_space_group_name_Hall '-C 2c 2'
_cell_length_a 3.129
_cell_length_b 15.564
_cell_length_c 4.959
_cell_angle_alpha 90.00
_cell_angle_beta 90.00
_cell_angle_gamma 90.00
loop_
_atom_site_label
_atom_site_fract_x
_atom_site_fract_y
_atom_site_fract_z
Mg1 0.000 0.064 0.250
Mg2 0.000 0.379 0.250
Cr1 0.000 0.276 0.750
```



Entry 6:
The following is a PBE-GGA calculation of a geometry-optimized MgCr2 structure, from the Alexandria database.

Spin magnetization (Bohr magnetons per cell): 1.0
DOS(E_F) (states/eV/f.u.): 2.11
Polymorph energy (0 for the lowest one) (meV/atom): 58
Electronic total energy (eV/f.u.): -19.8
Energy of formation from the pure elements (eV/atom): 0.362

Structure (CIF):
```
data_MgCr2
_chemical_formula_sum 'Mg4 Cr8'
_symmetry_space_group_name_H-M 'C m c m'
_symmetry_Int_Tables_number 63
_symmetry_space_group_name_Hall '-C 2c 2'
_cell_length_a 4.187
_cell_length_b 10.068
_cell_length_c 4.359
_cell_angle_alpha 90.00
_cell_angle_beta 90.00
_cell_angle_gamma 90.00
loop_
_atom_site_label
_atom_site_fract_x
_atom_site_fract_y
_atom_site_fract_z
Mg1 0.000 0.084 0.250
Cr1 0.000 0.248 0.750
Cr2 0.000 0.380 0.250
```



Entry 7:
The following is a PBE-GGA calculation of a geometry-optimized MgCr2 structure, from the Alexandria database.

Spin magnetization (Bohr magnetons per cell): 8.9
DOS(E_F) (states/eV/f.u.): 2.35
Polymorph energy (0 for the lowest one) (meV/atom): 1023
Electronic total energy (eV/f.u.): -16.9
Energy of formation from the pure elements (eV/atom): 1.327

Structure (CIF):
```
data_MgCr2
_chemical_formula_sum 'Mg1 Cr2'
_symmetry_space_group_name_H-M 'P 4/m m m'
_symmetry_Int_Tables_number 123
_symmetry_space_group_name_Hall '-P 4 2'
_cell_length_a 4.613
_cell_length_b 4.613
_cell_length_c 3.243
_cell_angle_alpha 90.00
_cell_angle_beta 90.00
_cell_angle_gamma 90.00
loop_
_atom_site_label
_atom_site_fract_x
_atom_site_fract_y
_atom_site_fract_z
Mg1 0.000 0.000 0.000
Cr1 0.000 0.500 0.500
```



Entry 8:
The following is a PBE-GGA calculation of a geometry-optimized MgCr2 structure, from the Alexandria database.

Spin magnetization (Bohr magnetons per cell): 0.0
DOS(E_F) (states/eV/f.u.): 2.93
Polymorph energy (0 for the lowest one) (meV/atom): 134
Electronic total energy (eV/f.u.): -19.5
Energy of formation from the pure elements (eV/atom): 0.438

Structure (CIF):
```
data_MgCr2
_chemical_formula_sum 'Mg1 Cr2'
_symmetry_space_group_name_H-M 'P -3 m 1'
_symmetry_Int_Tables_number 164
_symmetry_space_group_name_Hall '-P 3 2"'
_cell_length_a 2.8470
_cell_length_b 2.8470
_cell_length_c 6.4192
_cell_angle_alpha 90.00
_cell_angle_beta 90.00
_cell_angle_gamma 120.00
loop_
_atom_site_label
_atom_site_fract_x
_atom_site_fract_y
_atom_site_fract_z
Mg1 0.0000 0.0000 0.0000
Cr1 0.3333 0.6667 0.3821
```